Entry 1:
Compound: Ti20H2N17
Source: the Alexandria database
Functional: PBEsol
Structure: optimized geometry

Summary:
ρ, Mg/m³: 5.4
Space group: C2/m
D(E_F), states/eV/f.u.: 17.19
VASP energy, eV/atom: -9.93

a = 7.8729 Å, b = 7.8729 Å, c = 16.7763 Å
α = 105.44°, β = 105.44°, γ = 21.78°
Atoms (fractional coordinates):
Ti: 0.0005 0.0005 0.1295
Ti: 0.0041 0.0041 0.3766
Ti: 0.1997 0.1997 0.1749
Ti: 0.1996 0.1996 0.9234
Ti: 0.2010 0.2010 0.4267
Ti: 0.2041 0.2041 0.6762
Ti: 0.3948 0.3948 0.9735
Ti: 0.3998 0.3998 0.2213
Ti: 0.4002 0.4002 0.7263
Ti: 0.4009 0.4009 0.4765
Ti: 0.5991 0.5991 0.5235
Ti: 0.5998 0.5998 0.2737
Ti: 0.6002 0.6002 0.7787
Ti: 0.6052 0.6052 0.0265
Ti: 0.7959 0.7959 0.3238
Ti: 0.7990 0.7990 0.5733
Ti: 0.8004 0.8004 0.0766
Ti: 0.8003 0.8003 0.8251
Ti: 0.9959 0.9959 0.6234
Ti: 0.9995 0.9995 0.8705
H: 0.3996 0.3996 0.3502
H: 0.6004 0.6004 0.6498
N: 0.9999 0.9999 0.2510
N: 0.0000 0.0000 0.5000
N: 0.0001 0.0001 0.7490
N: 0.1991 0.1991 0.0493
N: 0.1994 0.1994 0.7986
N: 0.2004 0.2004 0.3008
N: 0.1997 0.1997 0.5507
N: 0.4004 0.4004 0.5997
N: 0.4011 0.4011 0.0990
N: 0.4009 0.4009 0.8516
N: 0.5991 0.5991 0.1484
N: 0.5989 0.5989 0.9010
N: 0.5996 0.5996 0.4003
N: 0.8003 0.8003 0.4493
N: 0.7996 0.7996 0.6992
N: 0.8006 0.8006 0.2014
N: 0.8009 0.8009 0.9507

---

Entry 2:
Compound: CoSnI2N
Source: the Alexandria database
Functional: PBEsol
Structure: optimized geometry

Summary:
ρ, Mg/m³: 5.6
Space group: P4/mmm
D(E_F), states/eV/f.u.: 5.78
Formation energy (no corrections), eV/atom: 1.14

a = 5.9110 Å, b = 5.9110 Å, c = 3.8043 Å
α = 90.00°, β = 90.00°, γ = 90.00°
Atoms (fractional coordinates):
Co: 0.0000 0.0000 0.0000
Sn: 0.5000 0.5000 0.5000
I: 0.0000 0.5000 0.5000
I: 0.5000 0.0000 0.5000
N: 0.5000 0.5000 0.0000

---

Entry 3:
Compound: Ti3AlSb
Source: the Alexandria database
Functional: PBEsol
Structure: optimized geometry

Summary:
ρ, Mg/m³: 4.1
Space group: Pm-3m
D(E_F), states/eV/f.u.: 6.96
Formation energy (no corrections), eV/atom: 0.81

a = 4.9009 Å, b = 4.9009 Å, c = 4.9009 Å
α = 90.00°, β = 90.00°, γ = 90.00°
Atoms (fractional coordinates):
Ti: 0.0000 0.0000 0.5000
Ti: 0.0000 0.5000 0.0000
Ti: 0.5000 0.0000 0.0000
Al: 0.5000 0.5000 0.5000
Sb: 0.0000 0.0000 0.0000

---

| no. | volume (Å³/atom) |
| --- | --- |
| 1 | 9.5 |
| 2 | 26.6 |
| 3 | 23.5 |